A relaxed structure of BaRe2Pt. Source: the Alexandria database, functional PBE.

Cell and atoms, written as POSCAR:
```
BaRe2Pt
1.0
2.875 0.000 0.000
0.000 4.231 0.000
0.000 0.000 7.188
Re Pt Ba
2 1 1
Direct
0.000 0.000 0.910
0.000 0.000 0.590
0.500 0.500 0.750
0.500 0.500 0.250
```

Space group   Pmmm
Calculated formation energy   308.4 kJ/mol of formula units
Calculated total energy   -29.66 eV/cell